Computed, not measured: a geometry-optimized Dy2YCd2In2 structure at the GGA-PBE level of DFT.

Computed properties:
The value obtained for the energy relative to the elements is -0.254 eV/atom. Its total magnetization is 0.00 μB per formula unit. The value obtained for the calculated density is 7.6 Mg/m³.

a b c (Å): 9.3941 9.3941 9.3941
angles (deg): 30.44 30.44 30.44
With the nearest neighbours (Å) after each atom.
Sites, in units of the cell vectors:
Dy: 0.1282 0.1282 0.1282  4 In 3.19-3.51, 3 Cd 3.34, 1 Y 3.44, 3 Dy 3.52
Dy: 0.8718 0.8718 0.8718  4 In 3.19-3.51, 3 Cd 3.34, 1 Y 3.44, 3 Dy 3.52
Y: 0.0000 0.0000 0.0000  6 Cd 3.31, 2 Dy 3.44, 6 In 3.48
Cd: 0.3965 0.3965 0.3965  3 In 2.86
Cd: 0.6035 0.6035 0.6035  3 In 2.86
In: 0.2588 0.2588 0.2588  3 Cd 2.86, 3 Dy 3.19
In: 0.7412 0.7412 0.7412  3 Cd 2.86, 3 Dy 3.19